Record 1
The following is a DFT calculation (meta-GGA SCAN) of a crystal of Cr4CdAgSe8 relaxed with PBEsol.

```
Cr4CdAgSe8
1.0
7.4877 0.0000 0.0000
3.7438 6.4845 0.0000
3.7438 2.1615 6.1136
Cr Cd Ag Se
4 1 1 8
direct
0.8769 0.3692 0.8769
0.8769 0.8769 0.8769
0.3692 0.8769 0.8769
0.8769 0.8769 0.3692
0.5000 0.5000 0.5000
0.2500 0.2500 0.2500
0.1116 0.6652 0.1116
0.1116 0.1116 0.1116
0.6652 0.1116 0.1116
0.1116 0.1116 0.6652
0.6405 0.0785 0.6405
0.6405 0.6405 0.6405
0.0785 0.6405 0.6405
0.6405 0.6405 0.0785
```

Results
- Calculated total energy: -306.7 eV for the cell shown
- Energy relative to the elements, uncorrected: -0.766 eV/atom
- Theoretical density: 5.93 g/cm³
- Symmetry: F-43m (216)
- D(E_F): 4.934 states/eV per cell


Record 2
The following is a DFT calculation (meta-GGA SCAN) of a crystal of ZrCrCd2Ag relaxed with PBEsol.

```
ZrCrCd2Ag
1.0
-2.4141 -4.1017 0.3388
1.3829 -0.4291 4.6589
-3.9745 2.4554 1.4059
Cr Zr Ag Cd
1 1 1 2
direct
0.0000 0.0000 0.0000
0.5000 0.5000 0.5000
0.5000 0.0000 0.0000
0.0000 0.0000 0.5000
0.0000 0.5000 0.0000
```

Results
- Calculated total energy: -137.3 eV for the cell shown
- Theoretical density: 6.96 g/cm³
- Symmetry: P4/mmm (123)
- D(E_F): 2.289 states/eV per cell
- Formation energy from the elements: 0.789 eV/atom


Record 3
The following is a DFT calculation (meta-GGA SCAN) of a crystal of CsCd3Ag relaxed with PBEsol.

```
CsCd3Ag
1.0
-5.2420 -0.3652 -1.0264
0.7323 -4.9159 -1.9908
-0.8067 -2.0896 4.8630
Cs Ag Cd
1 1 3
direct
0.5000 0.5000 0.5000
0.0000 0.0000 0.0000
0.0000 0.5000 0.0000
0.0000 0.0000 0.5000
0.5000 0.0000 0.0000
```

Results
- Calculated total energy: -160.3 eV for the cell shown
- Theoretical density: 6.25 g/cm³
- Symmetry: Pm-3m (221)
- D(E_F): 1.569 states/eV per cell
- Formation energy from the elements: 0.016 eV/atom


Total magnetization readings, ordered: 0.80; 0.60; 0.00 μB per atom